TbZn2GeO6 | PBE-GGA | relaxed

Computed properties:
Formation energy (no corrections) ... -1811.5 meV/atom
Total magnetic moment ... 1.05 μB per formula unit

Geometry as POSCAR:
```
TbZn2GeO6
1.0
6.501 0.145 0.150
2.257 6.595 0.954
2.257 0.709 6.625
Ge O Zn Tb
2 12 4 2
Direct
0.250 0.190 0.810
0.750 0.810 0.190
0.810 0.050 0.155
0.690 0.845 0.950
0.054 0.794 0.546
0.003 0.625 0.221
0.446 0.454 0.206
0.946 0.206 0.454
0.554 0.546 0.794
0.190 0.950 0.845
0.497 0.779 0.375
0.503 0.221 0.625
0.997 0.375 0.779
0.310 0.155 0.050
0.188 0.333 0.251
0.688 0.251 0.333
0.312 0.749 0.667
0.812 0.667 0.749
0.750 0.195 0.805
0.250 0.805 0.195
```